VASP calculation (PBE) on a relaxed Ba3Zr2BiO9 crystal.

Space group ... P-3m1
DOS at the Fermi energy ... 5.0 states/eV/cell
Magnetic moment ... 0.3 Bohr magnetons per cell
Formation energy without anion corrections ... -2.71 eV per atom

Cell lengths 6.1032, 6.1032, 7.4857 Å; angles 90.00, 90.00, 120.00 degrees
With the nearest neighbours (Å) after each atom.
Sites, in units of the cell vectors:
Ba 0.6667 0.3333 0.3342  12 O 3.05-3.07
Ba 0.3333 0.6667 0.6658  12 O 3.05-3.07
Ba 0.0000 0.0000 0.0000  12 O 3.03-3.05
O 0.1718 0.8282 0.3249  1 Zr 2.11, 1 Bi 2.24
O 0.5000 0.5000 0.0000  2 Zr 2.13
O 0.1718 0.3435 0.3249  1 Zr 2.11, 1 Bi 2.24
O 0.0000 0.5000 0.0000  2 Zr 2.13
O 0.8282 0.1718 0.6751  1 Zr 2.11, 1 Bi 2.24
O 0.3435 0.1718 0.6751  1 Zr 2.11, 1 Bi 2.24
O 0.8282 0.6565 0.6751  1 Zr 2.11, 1 Bi 2.24
O 0.5000 0.0000 0.0000  2 Zr 2.13
O 0.6565 0.8282 0.3249  1 Zr 2.11, 1 Bi 2.24
Bi 0.0000 0.0000 0.5000  6 O 2.24
Zr 0.3333 0.6667 0.1603  6 O 2.11-2.13
Zr 0.6667 0.3333 0.8397  6 O 2.11-2.13